VASP calculation (GGA-PBE) on TlCoMo2 after structural relaxation.

## Properties
Theoretical density: 11.71 g/cm³

Structure (CIF):
```
data_TlCoMo2
_chemical_formula_sum 'Tl1 Co1 Mo2'
_space_group_name_H-M_alt 'P 4/m m m'
_space_group_IT_number 123
_space_group_name_Hall '-P 4 2'
_cell_length_a 2.844
_cell_length_b 2.844
_cell_length_c 7.981
_cell_angle_alpha 90.00
_cell_angle_beta 90.00
_cell_angle_gamma 90.00
loop_
_atom_site_label
_atom_site_type_symbol
_atom_site_fract_x
_atom_site_fract_y
_atom_site_fract_z
Tl1 Tl 0.000 0.000 0.000
Co1 Co 0.000 0.000 0.500
Mo1 Mo 0.500 0.500 0.291
```


VASP calculation (GGA-PBE) on TlCoMo2 after structural relaxation.

## Properties
Theoretical density: 11.35 g/cm³

Structure (CIF):
```
data_TlCoMo2
_chemical_formula_sum 'Tl1 Co1 Mo2'
_space_group_name_H-M_alt 'P 1 m 1'
_space_group_IT_number 6
_space_group_name_Hall 'P -2y'
_cell_length_a 2.844
_cell_length_b 4.219
_cell_length_c 5.630
_cell_angle_alpha 90.00
_cell_angle_beta 99.61
_cell_angle_gamma 90.00
loop_
_atom_site_label
_atom_site_type_symbol
_atom_site_fract_x
_atom_site_fract_y
_atom_site_fract_z
Tl1 Tl 0.000 0.000 0.000
Co1 Co 0.071 0.500 0.293
Mo1 Mo 0.420 0.500 0.717
Mo2 Mo 0.647 0.000 0.478
```


VASP calculation (GGA-PBE) on TlCoMo2 after structural relaxation.

## Properties
Theoretical density: 11.82 g/cm³

Structure (CIF):
```
data_TlCoMo2
_chemical_formula_sum 'Tl2 Co2 Mo4'
_space_group_name_H-M_alt 'I m m m'
_space_group_IT_number 71
_space_group_name_Hall '-I 2 2'
_cell_length_a 3.372
_cell_length_b 4.189
_cell_length_c 9.051
_cell_angle_alpha 90.00
_cell_angle_beta 90.00
_cell_angle_gamma 90.00
loop_
_atom_site_label
_atom_site_type_symbol
_atom_site_fract_x
_atom_site_fract_y
_atom_site_fract_z
Tl1 Tl 0.000 0.000 0.000
Co1 Co 0.000 0.000 0.500
Mo1 Mo 0.000 0.500 0.239
```


Number 1: energy relative to the elements 483 meV per atom. Number 2: energy relative to the elements 529 meV per atom. Number 3: energy relative to the elements 491 meV per atom.